Arrangement A

# Bi3RhS, optimized geometry, DFT PBE-GGA
data_Bi3RhS
_space_group_name_H-M_alt 'P 1'
_space_group_IT_number 1
_cell_length_a 5.2562
_cell_length_b 5.2562
_cell_length_c 5.2562
_cell_angle_alpha 90.00
_cell_angle_beta 90.00
_cell_angle_gamma 90.00
loop_
_space_group_symop_operation_xyz
'x,y,z'
loop_
_atom_site_label
_atom_site_fract_x
_atom_site_fract_y
_atom_site_fract_z
Bi1 0.0000 0.0000 0.5000
Rh1 0.5000 0.5000 0.5000
Bi2 0.0000 0.5000 0.0000
Bi3 0.5000 0.0000 0.0000
S1 0.0000 0.0000 0.0000
# Crystal system ... cubic
# Magnetization ... 0.000 μB/atom
# Calculated density ... 8.7 Mg/m³

---

Arrangement B

# Bi3RhS, optimized geometry, DFT PBE-GGA
data_Bi3RhS
_space_group_name_H-M_alt 'P 1'
_space_group_IT_number 1
_cell_length_a 5.2846
_cell_length_b 5.2846
_cell_length_c 5.2846
_cell_angle_alpha 90.00
_cell_angle_beta 90.00
_cell_angle_gamma 90.00
loop_
_space_group_symop_operation_xyz
'x,y,z'
loop_
_atom_site_label
_atom_site_fract_x
_atom_site_fract_y
_atom_site_fract_z
Bi1 0.5000 0.0000 0.0000
Bi2 0.0000 0.0000 0.5000
Bi3 0.0000 0.5000 0.0000
Rh1 0.0000 0.0000 0.0000
S1 0.5000 0.5000 0.5000
# Crystal system ... cubic
# Magnetization ... 0.000 μB/atom
# Calculated density ... 8.6 Mg/m³

---

Stability ranking, top entry: arrangement B; the second entry is 337 meV/atom less favorable.

---

Arrangement A

# BiRh3S, optimized geometry, DFT PBE-GGA
data_BiRh3S
_space_group_name_H-M_alt 'P 1'
_space_group_IT_number 1
_cell_length_a 4.9894
_cell_length_b 4.9894
_cell_length_c 4.9894
_cell_angle_alpha 90.00
_cell_angle_beta 90.00
_cell_angle_gamma 90.00
loop_
_space_group_symop_operation_xyz
'x,y,z'
loop_
_atom_site_label
_atom_site_fract_x
_atom_site_fract_y
_atom_site_fract_z
Rh1 0.5000 0.0000 0.0000
Bi1 0.0000 0.0000 0.0000
Rh2 0.0000 0.5000 0.0000
Rh3 0.0000 0.0000 0.5000
S1 0.5000 0.5000 0.5000
# Crystal system ... cubic
# Magnetization ... 0.392 μB/atom
# Calculated density ... 7.4 Mg/m³

---

Arrangement B

# BiRh3S, optimized geometry, DFT PBE-GGA
data_BiRh3S
_space_group_name_H-M_alt 'P 1'
_space_group_IT_number 1
_cell_length_a 4.4889
_cell_length_b 4.4889
_cell_length_c 4.4889
_cell_angle_alpha 90.00
_cell_angle_beta 90.00
_cell_angle_gamma 90.00
loop_
_space_group_symop_operation_xyz
'x,y,z'
loop_
_atom_site_label
_atom_site_fract_x
_atom_site_fract_y
_atom_site_fract_z
Rh1 0.0000 0.0000 0.5000
Rh2 0.5000 0.0000 0.0000
Rh3 0.0000 0.5000 0.0000
Bi1 0.5000 0.5000 0.5000
S1 0.0000 0.0000 0.0000
# Crystal system ... cubic
# Magnetization ... 0.000 μB/atom
# Calculated density ... 10.1 Mg/m³

---

Stability ranking, top entry: arrangement B; the second entry is 1506 meV/atom less favorable.

---

Arrangement A

# BiSb3Rh, optimized geometry, DFT PBE-GGA
data_BiSb3Rh
_space_group_name_H-M_alt 'P 1'
_space_group_IT_number 1
_cell_length_a 5.7084
_cell_length_b 5.7084
_cell_length_c 5.7084
_cell_angle_alpha 90.00
_cell_angle_beta 90.00
_cell_angle_gamma 90.00
loop_
_space_group_symop_operation_xyz
'x,y,z'
loop_
_atom_site_label
_atom_site_fract_x
_atom_site_fract_y
_atom_site_fract_z
Sb1 0.0000 0.5000 0.0000
Rh1 0.5000 0.5000 0.5000
Sb2 0.5000 0.0000 0.0000
Bi1 0.0000 0.0000 0.0000
Sb3 0.0000 0.0000 0.5000
# Crystal system ... cubic
# Magnetization ... 0.000 μB/atom
# Calculated density ... 6.0 Mg/m³

---

Arrangement B

# BiSb3Rh, optimized geometry, DFT PBE-GGA
data_BiSb3Rh
_space_group_name_H-M_alt 'P 1'
_space_group_IT_number 1
_cell_length_a 5.2016
_cell_length_b 5.2016
_cell_length_c 5.2016
_cell_angle_alpha 90.00
_cell_angle_beta 90.00
_cell_angle_gamma 90.00
loop_
_space_group_symop_operation_xyz
'x,y,z'
loop_
_atom_site_label
_atom_site_fract_x
_atom_site_fract_y
_atom_site_fract_z
Bi1 0.5000 0.5000 0.5000
Sb1 0.5000 0.0000 0.0000
Sb2 0.0000 0.5000 0.0000
Sb3 0.0000 0.0000 0.5000
Rh1 0.0000 0.0000 0.0000
# Crystal system ... cubic
# Magnetization ... 0.000 μB/atom
# Calculated density ... 8.0 Mg/m³

---

Stability ranking, top entry: arrangement B; the second entry is 1302 meV/atom less favorable.

---

Arrangement A

# BiSb2Rh2, optimized geometry, DFT PBE-GGA
data_BiSb2Rh2
_space_group_name_H-M_alt 'P 1'
_space_group_IT_number 1
_cell_length_a 7.9556
_cell_length_b 7.9556
_cell_length_c 3.3008
_cell_angle_alpha 90.00
_cell_angle_beta 90.00
_cell_angle_gamma 90.00
loop_
_space_group_symop_operation_xyz
'x,y,z'
loop_
_atom_site_label
_atom_site_fract_x
_atom_site_fract_y
_atom_site_fract_z
Sb1 0.6481 0.8519 0.5000
Sb2 0.3519 0.1481 0.5000
Rh1 0.6313 0.1313 0.0000
Bi1 0.5000 0.5000 0.0000
Rh2 0.8687 0.6313 0.0000
Sb3 0.1481 0.6481 0.5000
Rh3 0.3687 0.8687 0.0000
Sb4 0.8519 0.3519 0.5000
Bi2 0.0000 0.0000 0.0000
Rh4 0.1313 0.3687 0.0000
# Crystal system ... tetragonal
# Magnetization ... 0.000 μB/atom
# Calculated density ... 10.5 Mg/m³

---

Arrangement B

# BiSb2Rh2, optimized geometry, DFT PBE-GGA
data_BiSb2Rh2
_space_group_name_H-M_alt 'P 1'
_space_group_IT_number 1
_cell_length_a 4.3391
_cell_length_b 4.3391
_cell_length_c 6.6840
_cell_angle_alpha 71.06
_cell_angle_beta 71.06
_cell_angle_gamma 90.00
loop_
_space_group_symop_operation_xyz
'x,y,z'
loop_
_atom_site_label
_atom_site_fract_x
_atom_site_fract_y
_atom_site_fract_z
Rh1 0.6169 0.6169 0.7662
Bi1 0.0000 0.0000 0.0000
Rh2 0.3831 0.3831 0.2338
Sb1 0.2500 0.7500 0.5000
Sb2 0.7500 0.2500 0.5000
# Crystal system ... tetragonal
# Magnetization ... 0.000 μB/atom
# Calculated density ... 9.8 Mg/m³

---

Stability ranking, top entry: arrangement A; the second entry is 130 meV/atom less favorable.

---

Arrangement A

# BiSbRh, optimized geometry, DFT PBE-GGA
data_BiSbRh
_space_group_name_H-M_alt 'P 1'
_space_group_IT_number 1
_cell_length_a 3.3090
_cell_length_b 3.3090
_cell_length_c 6.8219
_cell_angle_alpha 104.01
_cell_angle_beta 104.01
_cell_angle_gamma 90.10
loop_
_space_group_symop_operation_xyz
'x,y,z'
loop_
_atom_site_label
_atom_site_fract_x
_atom_site_fract_y
_atom_site_fract_z
Bi1 0.3028 0.3028 0.6055
Sb1 0.0400 0.0400 0.0800
Rh1 0.6572 0.6572 0.3144
# Crystal system ... orthorhombic
# Magnetization ... 0.000 μB/atom
# Calculated density ... 10.3 Mg/m³

---

Arrangement B

# BiSbRh, optimized geometry, DFT PBE-GGA
data_BiSbRh
_space_group_name_H-M_alt 'P 1'
_space_group_IT_number 1
_cell_length_a 6.5949
_cell_length_b 6.5949
_cell_length_c 6.5949
_cell_angle_alpha 90.00
_cell_angle_beta 90.00
_cell_angle_gamma 90.00
loop_
_space_group_symop_operation_xyz
'x,y,z'
loop_
_atom_site_label
_atom_site_fract_x
_atom_site_fract_y
_atom_site_fract_z
Sb1 0.8718 0.3718 0.1282
Rh1 0.4856 0.9856 0.5144
Sb2 0.1282 0.8718 0.3718
Sb3 0.3718 0.1282 0.8718
Bi1 0.6345 0.8655 0.1345
Rh2 0.9856 0.5144 0.4856
Sb4 0.6282 0.6282 0.6282
Bi2 0.3655 0.3655 0.3655
Rh3 0.0144 0.0144 0.0144
Rh4 0.5144 0.4856 0.9856
Bi3 0.8655 0.1345 0.6345
Bi4 0.1345 0.6345 0.8655
# Crystal system ... cubic
# Magnetization ... 0.000 μB/atom
# Calculated density ... 10.0 Mg/m³

---

Stability ranking, top entry: arrangement B; the second entry is 20 meV/atom less favorable.

---

Arrangement A

# BiSbRh, optimized geometry, DFT PBE-GGA
data_BiSbRh
_space_group_name_H-M_alt 'P 1'
_space_group_IT_number 1
_cell_length_a 5.8772
_cell_length_b 6.6213
_cell_length_c 7.5731
_cell_angle_alpha 97.17
_cell_angle_beta 90.00
_cell_angle_gamma 90.00
loop_
_space_group_symop_operation_xyz
'x,y,z'
loop_
_atom_site_label
_atom_site_fract_x
_atom_site_fract_y
_atom_site_fract_z
Rh1 0.0005 0.2127 0.1149
Bi1 0.7331 0.4342 0.8985
Sb1 0.1858 0.0638 0.3887
Sb2 0.8142 0.9362 0.6113
Bi2 0.2331 0.5658 0.6015
Bi3 0.7669 0.4342 0.3985
Sb3 0.6858 0.9362 0.1113
Rh2 0.9995 0.7873 0.8851
Sb4 0.3142 0.0638 0.8887
Rh3 0.5005 0.7873 0.3851
Rh4 0.4995 0.2127 0.6149
Bi4 0.2669 0.5658 0.1015
# Crystal system ... monoclinic
# Magnetization ... 0.000 μB/atom
# Calculated density ... 9.9 Mg/m³

---

Arrangement B

# BiSbRh, optimized geometry, DFT PBE-GGA
data_BiSbRh
_space_group_name_H-M_alt 'P 1'
_space_group_IT_number 1
_cell_length_a 4.6762
_cell_length_b 4.6762
_cell_length_c 4.6762
_cell_angle_alpha 60.00
_cell_angle_beta 60.00
_cell_angle_gamma 60.00
loop_
_space_group_symop_operation_xyz
'x,y,z'
loop_
_atom_site_label
_atom_site_fract_x
_atom_site_fract_y
_atom_site_fract_z
Rh1 0.2500 0.2500 0.2500
Sb1 0.5000 0.5000 0.5000
Bi1 0.0000 0.0000 0.0000
# Crystal system ... cubic
# Magnetization ... 0.000 μB/atom
# Calculated density ... 10.0 Mg/m³

---

Stability ranking, top entry: arrangement A; the second entry is 64 meV/atom less favorable.